[1]
# PBE SrPrGa, relaxed
# * energy relative to the lowest polymorph listed for this composition: 0.0 meV per atom
# * crystal system: tetragonal
# * energy: -3.44 eV/atom
# * calculated formation energy: -0.8 eV/f.u.
data_SrPrGa
_cell_length_a 3.8208
_cell_length_b 3.8208
_cell_length_c 13.8910
_cell_angle_alpha 90.00
_cell_angle_beta 90.00
_cell_angle_gamma 90.00
_space_group_name_H-M_alt 'I 4 m m'
_space_group_IT_number 107
_space_group_name_Hall 'I 4 -2'
loop_
_atom_site_label
_atom_site_type_symbol
_atom_site_fract_x
_atom_site_fract_y
_atom_site_fract_z
_atom_site_occupancy
Sr1 Sr 0.0000 0.0000 0.0000 1
Pr1 Pr 0.0000 0.0000 0.2649 1
Ga1 Ga 0.0000 0.0000 0.6512 1

=====

[2]
# PBE Sr2PrGaTe5, relaxed
# * crystal system: orthorhombic
# * energy: -4.24 eV/atom
# * formation energy (no corrections): -1.250 eV/atom
data_Sr2PrGaTe5
_cell_length_a 4.4463
_cell_length_b 20.5065
_cell_length_c 13.7734
_cell_angle_alpha 90.00
_cell_angle_beta 90.00
_cell_angle_gamma 90.00
_space_group_name_H-M_alt 'C m c 21'
_space_group_IT_number 36
_space_group_name_Hall 'C 2c -2'
loop_
_atom_site_label
_atom_site_type_symbol
_atom_site_fract_x
_atom_site_fract_y
_atom_site_fract_z
_atom_site_occupancy
Sr1 Sr 0.0000 0.1175 0.0000 1
Sr2 Sr 0.0000 0.1207 0.6421 1
Pr1 Pr 0.0000 0.2064 0.3419 1
Ga1 Ga 0.0000 0.4397 0.7520 1
Te1 Te 0.0000 0.0438 0.3652 1
Te2 Te 0.0000 0.2938 0.0023 1
Te3 Te 0.0000 0.3171 0.6753 1
Te4 Te 0.0000 0.3583 0.3232 1
Te5 Te 0.0000 0.4990 0.0856 1

=====

[3]
# PBE SrPrTlGa, relaxed
# * crystal system: cubic
# * energy: -3.32 eV/atom
# * calculated formation energy: -1.4 eV/f.u.
data_SrPrTlGa
_cell_length_a 7.8318
_cell_length_b 7.8318
_cell_length_c 7.8318
_cell_angle_alpha 90.00
_cell_angle_beta 90.00
_cell_angle_gamma 90.00
_space_group_name_H-M_alt 'F -4 3 m'
_space_group_IT_number 216
_space_group_name_Hall 'F -4 2 3'
loop_
_atom_site_label
_atom_site_type_symbol
_atom_site_fract_x
_atom_site_fract_y
_atom_site_fract_z
_atom_site_occupancy
Sr1 Sr 0.0000 0.0000 0.0000 1
Pr1 Pr 0.0000 0.0000 0.5000 1
Tl1 Tl 0.2500 0.2500 0.7500 1
Ga1 Ga 0.2500 0.2500 0.2500 1